The following is a PBE calculation of a relaxed NaAcAs2 crystal, from Alexandria.

Cell lengths 3.9745, 3.9745, 6.4504 Å; angles 90.00, 90.00, 90.00 degrees
With the nearest neighbours (Å) after each atom.
Positions (direct):
1 Na 0.0000 0.0000 0.0000  8 As 3.15, 2 Ac 3.23
2 Ac 0.0000 0.0000 0.5000  2 Na 3.23, 8 As 3.34
3 As 0.5000 0.5000 0.2193  1 As 2.83, 4 Na 3.15
4 As 0.5000 0.5000 0.7807  1 As 2.83, 4 Na 3.15

Electronic total energy = -4.30 eV/atom
M_tot = 0.0000 μB per atom
Distance to the lowest polymorph of the same formula = 81.9 meV per atom
Energy of formation = -0.620 eV per atom



The following is a PBE calculation of a relaxed NaAcAs crystal, from Alexandria.

Cell lengths 4.7258, 4.7258, 4.4146 Å; angles 90.00, 90.00, 120.00 degrees
With the nearest neighbours (Å) after each atom.
Positions (direct):
1 Na 0.0000 0.0000 0.0000  3 As 2.73
2 Ac 0.3333 0.6667 0.5000  6 Na 3.51, 6 As 3.51
3 As 0.6667 0.3333 0.0000  3 Na 2.73

Electronic total energy = -3.99 eV/atom
M_tot = 0.3043 μB per atom
Distance to the lowest polymorph of the same formula = 117.1 meV per atom
Energy of formation = -0.627 eV per atom



The following is a PBE calculation of a relaxed Na2AcAsO6 crystal, from Alexandria.

Cell lengths 5.8256, 5.8265, 5.8296 Å; angles 60.99, 61.01, 61.00 degrees
With the nearest neighbours (Å) after each atom.
Positions (direct):
1 Na 0.2286 0.2293 0.2282  6 O 2.42-2.65
2 Na 0.7714 0.7707 0.7718  6 O 2.42-2.65
3 Ac 0.5000 0.5000 0.5000  6 O 2.48
4 As 0.0000 0.0000 0.0000  6 O 1.85
5 O 0.1099 0.8036 0.3114  1 As 1.85
6 O 0.1953 0.6895 0.8887  1 As 1.85
7 O 0.3113 0.1101 0.8059  1 As 1.85
8 O 0.6887 0.8899 0.1941  1 As 1.85
9 O 0.8047 0.3105 0.1113  1 As 1.85
10 O 0.8901 0.1964 0.6886  1 As 1.85

Electronic total energy = -5.77 eV/atom
M_tot = 0.2010 μB per atom
Formation energy from raw total energies = -16.55 eV per formula unit